# 1
Compound: Tb4Nd5Tm3
Source: Alexandria via LeMat-Bulk
Functional: GGA-PBE
Structure: relaxed

Unit cell a=6.3497 b=6.3497 c=13.2616 alpha=103.79 beta=103.79 gamma=51.04
Element x y z (fractional)
Tb 0.0899 0.0899 0.1298
Tb 0.2312 0.2312 0.3959
Tb 0.7688 0.7688 0.6041
Tb 0.9101 0.9101 0.8702
Nd 0.1695 0.1695 0.7633
Nd 0.3614 0.3614 0.0357
Nd 0.5000 0.5000 0.5000
Nd 0.6386 0.6386 0.9643
Nd 0.8305 0.8305 0.2367
Tm 0.0000 0.0000 0.5000
Tm 0.4539 0.4539 0.7166
Tm 0.5461 0.5461 0.2834

Calculated values
- energy of formation from the pure elements (meV per atom) = 224

---

# 2
Compound: K5CuHgO2
Source: Alexandria via LeMat-Bulk
Functional: GGA-PBE
Structure: relaxed

Unit cell a=5.5052 b=5.5052 c=9.1645 alpha=90.00 beta=90.00 gamma=90.00
Element x y z (fractional)
K 0.0000 0.0000 0.0000
K 0.0000 0.5000 0.2852
K 0.0000 0.5000 0.7148
K 0.5000 0.0000 0.2852
K 0.5000 0.0000 0.7148
Cu 0.0000 0.0000 0.5000
Hg 0.5000 0.5000 0.0000
O 0.0000 0.0000 0.3013
O 0.0000 0.0000 0.6987

Calculated values
- raw formation energy (meV per atom) = -737

---

# 3
Compound: TbCePbAu
Source: Alexandria via LeMat-Bulk
Functional: GGA-PBE
Structure: relaxed

Unit cell a=5.3568 b=5.3568 c=5.3568 alpha=60.00 beta=60.00 gamma=60.00
Element x y z (fractional)
Tb 0.0000 0.0000 0.0000
Ce 0.5000 0.5000 0.5000
Pb 0.7500 0.7500 0.7500
Au 0.2500 0.2500 0.2500

Calculated values
- energy of formation from the pure elements (meV per atom) = -525

---

# 4
Compound: Rb3PuU3S8
Source: Alexandria via LeMat-Bulk
Functional: GGA-PBE
Structure: relaxed

Unit cell a=8.1768 b=8.1768 c=9.1146 alpha=116.75 beta=116.75 gamma=59.68
Element x y z (fractional)
Rb 0.0000 0.0000 0.0000
Rb 0.0000 0.5000 0.0000
Rb 0.5000 0.0000 0.0000
Pu 0.0000 0.0000 0.5000
U 0.0000 0.5000 0.5000
U 0.5000 0.0000 0.5000
U 0.5000 0.5000 0.5000
S 0.2321 0.7232 0.6864
S 0.2331 0.2331 0.6870
S 0.2691 0.2691 0.3082
S 0.2768 0.7679 0.3136
S 0.7232 0.2321 0.6864
S 0.7309 0.7309 0.6918
S 0.7669 0.7669 0.3130
S 0.7679 0.2768 0.3136

Calculated values
- raw formation energy (meV per atom) = -1411

---

# 5
Compound: La5Pr3Y2
Source: Alexandria via LeMat-Bulk
Functional: GGA-PBE
Structure: relaxed

Unit cell a=9.3061 b=9.3061 c=10.3594 alpha=108.55 beta=108.55 gamma=106.80
Element x y z (fractional)
La 0.0207 0.9793 0.7500
La 0.1308 0.3786 0.7552
La 0.2292 0.7708 0.7500
La 0.2735 0.7265 0.2500
La 0.3786 0.1308 0.2552
La 0.6214 0.8692 0.7448
La 0.7265 0.2735 0.7500
La 0.7708 0.2292 0.2500
La 0.8692 0.6214 0.2448
La 0.9793 0.0207 0.2500
Pr 0.0285 0.2787 0.0594
Pr 0.2787 0.0285 0.5594
Pr 0.4813 0.5187 0.2500
Pr 0.5187 0.4813 0.7500
Pr 0.7213 0.9715 0.4406
Pr 0.9715 0.7213 0.9406
Y 0.2215 0.4690 0.4415
Y 0.4690 0.2215 0.9415
Y 0.5310 0.7785 0.0585
Y 0.7785 0.5310 0.5585

Calculated values
- energy of formation from the pure elements (meV per atom) = 141

---

# 6
Compound: Tl2PtC
Source: Alexandria via LeMat-Bulk
Functional: GGA-PBE
Structure: relaxed

Unit cell a=4.7350 b=4.7350 c=4.7350 alpha=60.00 beta=60.00 gamma=60.00
Element x y z (fractional)
Tl 0.2500 0.2500 0.2500
Tl 0.7500 0.7500 0.7500
Pt 0.0000 0.0000 0.0000
C 0.5000 0.5000 0.5000

Calculated values
- energy of formation from the pure elements (meV per atom) = 1393
- distance to the lowest polymorph of the same formula (meV per atom) = 250

---

# 7
Compound: CeSbPt
Source: Alexandria via LeMat-Bulk
Functional: GGA-PBE
Structure: relaxed

Unit cell a=6.0369 b=6.0369 c=6.0369 alpha=135.46 beta=98.19 gamma=98.32
Element x y z (fractional)
Ce 0.0000 0.0000 0.0000
Ce 0.5418 0.0418 0.5000
Sb 0.4227 0.6817 0.7410
Sb 0.9407 0.6817 0.2590
Pt 0.1570 0.3492 0.8078
Pt 0.5414 0.3492 0.1922

Calculated values
- raw formation energy (meV per atom) = -1047

---

# 8
Compound: KAl2V
Source: Alexandria via LeMat-Bulk
Functional: GGA-PBE
Structure: relaxed

Unit cell a=9.8029 b=9.8029 c=9.8029 alpha=148.18 beta=148.18 gamma=45.62
Element x y z (fractional)
K 0.3750 0.6250 0.7500
K 0.6250 0.3750 0.2500
Al 0.0000 0.0000 0.0000
Al 0.0000 0.0000 0.5000
Al 0.0000 0.5000 0.0000
Al 0.5000 0.0000 0.5000
V 0.1250 0.8750 0.2500
V 0.8750 0.1250 0.7500

Calculated values
- energy of formation from the pure elements (meV per atom) = 767
- distance to the lowest polymorph of the same formula (meV per atom) = 34

---

# 9
Compound: CuRe2Te
Source: Alexandria via LeMat-Bulk
Functional: GGA-PBE
Structure: relaxed

Unit cell a=9.6826 b=9.6826 c=9.6826 alpha=156.47 beta=156.47 gamma=33.51
Element x y z (fractional)
Cu 0.0000 0.0000 0.0000
Cu 0.7500 0.2500 0.5000
Re 0.0564 0.6250 0.9314
Re 0.3750 0.3064 0.4314
Re 0.6936 0.1250 0.0686
Re 0.8750 0.9436 0.5686
Te 0.2500 0.7500 0.5000
Te 0.5000 0.5000 0.0000

Calculated values
- raw formation energy (meV per atom) = 733

---

# 10
Compound: KNaGa2Sb2
Source: Alexandria via LeMat-Bulk
Functional: GGA-PBE
Structure: relaxed

Unit cell a=4.7718 b=4.7718 c=9.5760 alpha=90.00 beta=90.00 gamma=120.00
Element x y z (fractional)
K 0.0000 0.0000 0.0000
Na 0.0000 0.0000 0.5000
Ga 0.3333 0.6667 0.7505
Ga 0.6667 0.3333 0.2495
Sb 0.3333 0.6667 0.2822
Sb 0.6667 0.3333 0.7178

Calculated values
- raw formation energy (meV per atom) = -168

---

# 11
Compound: Tb2BP
Source: Alexandria via LeMat-Bulk
Functional: GGA-PBE
Structure: relaxed

Unit cell a=6.9438 b=6.9438 c=6.9438 alpha=32.27 beta=32.27 gamma=32.27
Element x y z (fractional)
Tb 0.2481 0.2481 0.2481
Tb 0.7519 0.7519 0.7519
B 0.5000 0.5000 0.5000
P 0.0000 0.0000 0.0000

Calculated values
- energy of formation from the pure elements (meV per atom) = -600

---

# 12
Compound: TbPm6Sm2Dy3
Source: Alexandria via LeMat-Bulk
Functional: GGA-PBE
Structure: relaxed

Unit cell a=6.2631 b=6.2631 c=11.9343 alpha=95.01 beta=95.01 gamma=119.99
Element x y z (fractional)
Tb 0.0000 0.0000 0.0000
Pm 0.0840 0.4169 0.2518
Pm 0.2489 0.2489 0.7481
Pm 0.4169 0.0840 0.2518
Pm 0.5831 0.9160 0.7482
Pm 0.7511 0.7511 0.2519
Pm 0.9160 0.5831 0.7482
Sm 0.3333 0.6667 0.0000
Sm 0.6667 0.3333 0.0000
Dy 0.1666 0.8334 0.5000
Dy 0.5000 0.5000 0.5000
Dy 0.8334 0.1666 0.5000

Calculated values
- energy of formation from the pure elements (meV per atom) = 13